1.
Density functional theory data (PBE) for crystalline PrNd6Sm5 at its relaxed geometry.

Cell: 16.361 10.357 5.182 Å, 90.00 108.40 90.00°
Space group C2/m (No. 12)
Unique sites:
1 Pr 0.000 0.000 0.000
2 Nd 0.000 0.251 0.500
3 Nd 0.167 0.251 0.167
4 Sm 0.000 0.500 0.000
5 Sm 0.167 0.000 0.667
6 Sm 0.167 0.500 0.667

- Calculated volume: 34.72 Å³ per atom
- Fermi-level density of states: 18.960 states/eV/f.u.



2.
Density functional theory data (PBE) for crystalline Pr2NdSm6 at its relaxed geometry.

Cell: 7.6887 7.6887 6.1742 Å, 90.00 90.00 120.00°
Space group P-3m1 (No. 164)
Unique sites:
1 Pr 0.3333 0.6667 0.2840
2 Nd 0.0000 0.0000 0.5000
3 Sm 0.1875 0.3751 0.7900

- Calculated volume: 35.12 Å³ per atom
- Offset from the most stable computed form: 151.3 meV per atom
- Fermi-level density of states: 14.395 states/eV/f.u.



3.
Density functional theory data (PBE) for crystalline Pr12NdSm7 at its relaxed geometry.

Cell: 15.4476 15.4476 10.3361 Å, 90.00 90.00 120.00°
Space group R-3 (No. 148, hexagonal axes)
Unique sites:
1 Pr 0.0453 0.7983 0.0749
2 Pr 0.0445 0.8447 0.7510
3 Nd 0.0000 0.0000 0.5000
4 Sm 0.0000 0.0000 0.0000
5 Sm 0.0664 0.8197 0.4260

- Calculated volume: 35.60 Å³ per atom
- Offset from the most stable computed form: 0.0 meV per atom
- Fermi-level density of states: 32.584 states/eV/f.u.



Number 1: E_form 0.01 eV/atom. Number 2: E_form 0.21 eV/atom. Number 3: E_form 0.14 eV/atom.